Ba2HoTl2O6: relaxed, PBE.

Geometry as CIF:
```
data_Ba2HoTl2O6
_chemical_formula_sum 'Ba6 Ho3 Tl6 O18'
_symmetry_space_group_name_H-M 'R -3 m'
_symmetry_Int_Tables_number 166
_symmetry_space_group_name_Hall '-R 3 2"'
_cell_length_a 6.5088
_cell_length_b 6.5088
_cell_length_c 18.1848
_cell_angle_alpha 90.00
_cell_angle_beta 90.00
_cell_angle_gamma 120.00
loop_
_atom_site_label
_atom_site_type_symbol
_atom_site_fract_x
_atom_site_fract_y
_atom_site_fract_z
Ba1 Ba 0.0000 0.0000 0.1996
Ho1 Ho 0.0000 0.0000 0.0000
Tl1 Tl 0.0000 0.0000 0.3990
O1 O 0.0407 0.5204 0.7532
```

Properties
uncorrected formation energy: -176.16 kJ per mole of atoms
magnetization: 0.00 μB/atom
DOS(E_F): 11.00 states/eV per cell


Ba2HoTlO5: relaxed, PBE.

Geometry as CIF:
```
data_Ba2HoTlO5
_chemical_formula_sum 'Ba8 Ho4 Tl4 O20'
_symmetry_space_group_name_H-M 'C m c 21'
_symmetry_Int_Tables_number 36
_cell_length_a 3.618
_cell_length_b 14.950
_cell_length_c 11.643
_cell_angle_alpha 90.00
_cell_angle_beta 90.00
_cell_angle_gamma 90.00
loop_
_symmetry_equiv_pos_as_xyz
'x,y,z'
'-x,-y,z+1/2'
'-x,y,z'
'x,-y,z+1/2'
'x+1/2,y+1/2,z'
'-x+1/2,-y+1/2,z+1/2'
'-x+1/2,y+1/2,z'
'x+1/2,-y+1/2,z+1/2'
loop_
_atom_site_label
_atom_site_type_symbol
_atom_site_fract_x
_atom_site_fract_y
_atom_site_fract_z
Ba1 Ba 0.000 0.110 0.000
Ba2 Ba 0.000 0.140 0.597
Ho1 Ho 0.000 0.218 0.317
Tl1 Tl 0.000 0.477 0.770
O1 O 0.000 0.062 0.365
O2 O 0.000 0.280 0.944
O3 O 0.000 0.310 0.695
O4 O 0.000 0.366 0.307
O5 O 0.000 0.494 0.090
```

Properties
uncorrected formation energy: -223.23 kJ per mole of atoms
magnetization: 0.00 μB/atom